# 1
Computed, not measured: Be2ReBr after structural relaxation at the PBE level of DFT.

Summary:
For the formation energy (no corrections), the calculation gives 1.19 eV per atom. The distance to the lowest polymorph of the same formula is 0.812 eV/atom. Its symmetry is I-42d.

a b c (Å): 5.8107 5.8107 5.8107
angles (deg): 120.37 120.37 89.36
Closest atoms and distances in Å follow each position.
Positions (direct):
Be: 0.1239 0.6250 0.9989  2 Br 2.29, 2 Re 2.29
Be: 0.3750 0.3739 0.4989  2 Br 2.29, 2 Re 2.29
Be: 0.6261 0.1250 0.0011  2 Br 2.29, 2 Re 2.29
Be: 0.8750 0.8761 0.5011  2 Br 2.29, 2 Re 2.29
Re: 0.2500 0.7500 0.5000  4 Be 2.29
Re: 0.5000 0.5000 0.0000  4 Be 2.29
Br: 0.0000 0.0000 0.0000  4 Be 2.29
Br: 0.7500 0.2500 0.5000  4 Be 2.29



# 2
Computed, not measured: CdAgOs2 after structural relaxation at the PBE level of DFT.

Summary:
Its energy of formation is 0.6757 eV/atom. Its symmetry is R-3m.

a b c (Å): 9.8258 9.8258 9.8258
angles (deg): 16.27 16.27 16.27
Closest atoms and distances in Å follow each position.
Positions (direct):
Cd: 0.0000 0.0000 0.0000  6 Cd 2.78, 6 Os 2.92
Ag: 0.5000 0.5000 0.5000  6 Ag 2.78, 6 Os 2.90
Os: 0.2495 0.2495 0.2495  6 Os 2.78, 3 Ag 2.90, 3 Cd 2.92
Os: 0.7505 0.7505 0.7505  6 Os 2.78, 3 Ag 2.90, 3 Cd 2.92



no.,VASP energy (eV for the cell shown),volume (Å³/cell)
1,-33.59,138
2,-23.52,65